(1)
PmSnTe2O, relaxed, DFT GGA-PBE; symmetry = P4/nmm (129)
1.0
-1.5743 -3.5964 1.2439
3.4513 -1.9165 -1.1727
6.5115 2.4137 15.2195
O Te Sn Pm
2 4 2 2
Direct
0.0000 0.0000 0.5000
0.5000 0.5000 0.5000
0.5000 0.0000 0.8970
0.0000 0.5000 0.1030
0.5000 0.0000 0.3238
0.0000 0.5000 0.6762
0.0000 0.5000 0.8438
0.5000 0.0000 0.1562
0.5000 0.0000 0.5681
0.0000 0.5000 0.4319



(2)
PmTl2SnO6, relaxed, DFT GGA-PBE; symmetry = R3 (146)
1.0
5.8087 0.0003 -0.0006
2.9046 5.0312 -0.0008
2.9036 1.6769 5.2283
O Tl Sn Pm
6 2 1 1
Direct
0.6880 0.1109 0.7857
0.1861 0.9782 0.2483
0.5875 0.1860 0.2483
0.4155 0.6880 0.7857
0.1104 0.4156 0.7860
0.9783 0.5874 0.2484
0.5447 0.5445 0.3662
0.0227 0.0226 0.9321
0.3200 0.3201 0.0398
0.8085 0.8085 0.5746



(3)
Pm3Tl3SnO8, relaxed, DFT GGA-PBE; symmetry = R-3m (166)
1.0
-1.5257 -1.4959 6.7618
-0.2145 -5.1216 -4.8999
6.9664 2.5731 2.1411
Pm O Tl Sn
3 8 3 1
Direct
0.5000 0.0000 0.5000
0.0000 0.5000 0.5000
0.5000 0.5000 0.5000
0.2764 0.5528 0.3294
0.7236 0.4472 0.6706
0.2467 0.0393 0.3320
0.2074 0.4149 0.6680
0.7533 0.9607 0.6680
0.7926 0.0393 0.3320
0.7926 0.5851 0.3320
0.2074 0.9607 0.6680
0.0000 0.0000 0.0000
0.0000 0.5000 0.0000
0.5000 0.5000 0.0000
0.0000 0.0000 0.5000



(4)
Pm4Tm2Sn3O2, relaxed, DFT GGA-PBE; symmetry = I4/mmm (139)
1.0
4.7660 0.0000 0.0000
0.0000 4.7660 0.0000
-2.3830 -2.3830 12.5699
Pm Tm Sn O
4 2 3 2
Direct
0.9156 0.4156 0.8312
0.4156 0.9156 0.8312
0.5844 0.0844 0.1688
0.0844 0.5844 0.1688
0.3058 0.3058 0.6117
0.6942 0.6942 0.3883
0.1809 0.1809 0.3619
0.8191 0.8191 0.6381
0.0000 0.0000 0.0000
0.3933 0.3933 0.7867
0.6067 0.6067 0.2133



So what do the calculations give for density of states at the Fermi level? Going down the list: 4.9, 3.1, 0.0, 5.3 states/eV per cell.
So what do the calculations give for raw formation energy? Going down the list: -1.5129, -1.5836, -2.1074, -1.4597 eV/atom.